Run i
The following is a PBE calculation of SbIrI2Br after structural relaxation, from the Alexandria database.

Unit cell a=5.6464 b=5.6464 c=5.7639 alpha=90.00 beta=90.00 gamma=90.00
Space group P4/mmm (No. 123)
One atom of each set of equivalent atoms:
Sb  0.0000  0.0000  0.0000 x1
Ir  0.5000  0.5000  0.0000 x1
I  0.0000  0.5000  0.5000 x2
Br  0.0000  0.0000  0.5000 x1

Properties
total magnetic moment	0.4154	μB per atom


Run ii
The following is a PBE calculation of SbIrI2Br after structural relaxation, from the Alexandria database.

Unit cell a=6.0439 b=6.0439 c=5.0871 alpha=90.00 beta=90.00 gamma=90.00
Space group P4/mmm (No. 123)
One atom of each set of equivalent atoms:
Sb  0.0000  0.0000  0.0000 x1
Ir  0.0000  0.0000  0.5000 x1
I  0.0000  0.5000  0.0000 x2
Br  0.5000  0.5000  0.5000 x1

Properties
total magnetic moment	0.5655	μB per atom


Most stable one: run ii, least stable one: run i.


Run i
The following is a PBE calculation of Sb2IrIBr after structural relaxation, from the Alexandria database.

Unit cell a=5.1888 b=5.1888 c=5.6076 alpha=90.00 beta=90.00 gamma=90.00
Space group P4/mmm (No. 123)
One atom of each set of equivalent atoms:
Sb  0.0000  0.5000  0.0000 x2
Ir  0.0000  0.0000  0.0000 x1
I  0.0000  0.0000  0.5000 x1
Br  0.5000  0.5000  0.5000 x1

Properties
total magnetic moment	0.0000	μB per atom


Run ii
The following is a PBE calculation of Sb2IrIBr after structural relaxation, from the Alexandria database.

Unit cell a=5.4678 b=5.4678 c=5.4570 alpha=90.00 beta=90.00 gamma=90.00
Space group P4/mmm (No. 123)
One atom of each set of equivalent atoms:
Sb  0.0000  0.5000  0.0000 x2
Ir  0.0000  0.0000  0.5000 x1
I  0.5000  0.5000  0.5000 x1
Br  0.5000  0.5000  0.0000 x1

Properties
total magnetic moment	0.2200	μB per atom


Most stable one: run i, least stable one: run ii.


Run i
The following is a PBE calculation of TeIrI2Br after structural relaxation, from the Alexandria database.

Unit cell a=5.7462 b=5.7462 c=5.6828 alpha=90.00 beta=90.00 gamma=90.00
Space group P4/mmm (No. 123)
One atom of each set of equivalent atoms:
Te  0.0000  0.0000  0.0000 x1
Ir  0.5000  0.5000  0.0000 x1
I  0.0000  0.5000  0.5000 x2
Br  0.0000  0.0000  0.5000 x1

Properties
total magnetic moment	0.5788	μB per atom


Run ii
The following is a PBE calculation of TeIrI2Br after structural relaxation, from the Alexandria database.

Unit cell a=5.5665 b=5.5665 c=5.0803 alpha=90.00 beta=90.00 gamma=90.00
Space group P4/mmm (No. 123)
One atom of each set of equivalent atoms:
Te  0.0000  0.0000  0.0000 x1
Ir  0.0000  0.0000  0.5000 x1
I  0.0000  0.5000  0.5000 x2
Br  0.5000  0.5000  0.0000 x1

Properties
total magnetic moment	0.0000	μB per atom


Most stable one: run ii, least stable one: run i.


Run i
The following is a PBE calculation of K2IBr after structural relaxation, from the Alexandria database.

Unit cell a=4.1905 b=4.1905 c=8.3784 alpha=90.00 beta=90.00 gamma=90.00
Space group P4/mmm (No. 123)
One atom of each set of equivalent atoms:
K  0.0000  0.0000  0.2381 x2
I  0.5000  0.5000  0.5000 x1
Br  0.5000  0.5000  0.0000 x1

Properties
total magnetic moment	0.0000	μB per atom


Run ii
The following is a PBE calculation of K2IBr after structural relaxation, from the Alexandria database.

Unit cell a=4.8830 b=4.8830 c=24.1648 alpha=90.00 beta=90.00 gamma=120.00
Space group R-3m (No. 166, hexagonal axes)
One atom of each set of equivalent atoms:
K  0.0000  0.0000  0.2444 x6
I  0.0000  0.0000  0.0000 x3
Br  0.0000  0.0000  0.5000 x3

Properties
total magnetic moment	0.0000	μB per atom


Run iii
The following is a PBE calculation of K2IBr after structural relaxation, from the Alexandria database.

Unit cell a=4.7683 b=4.7683 c=25.4949 alpha=90.00 beta=90.00 gamma=120.00
Space group R3m (No. 160, hexagonal axes)
One atom of each set of equivalent atoms:
K  0.0000  0.0000  0.0000 x3
K  0.0000  0.0000  0.1586 x3
I  0.0000  0.0000  0.5785 x3
Br  0.0000  0.0000  0.7475 x3

Properties
total magnetic moment	0.0000	μB per atom


Run iv
The following is a PBE calculation of K2IBr after structural relaxation, from the Alexandria database.

Unit cell a=5.0526 b=5.0526 c=29.7856 alpha=90.00 beta=90.00 gamma=120.00
Space group R-3m (No. 166, hexagonal axes)
One atom of each set of equivalent atoms:
K  0.0000  0.0000  0.1058 x6
I  0.0000  0.0000  0.0000 x3
Br  0.0000  0.0000  0.5000 x3

Properties
total magnetic moment	0.0000	μB per atom


Most stable one: run ii, least stable one: run iv.


Run i
The following is a PBE calculation of K2IBr after structural relaxation, from the Alexandria database.

Unit cell a=8.7112 b=8.7112 c=10.1880 alpha=90.00 beta=90.00 gamma=90.00
Space group I-42d (No. 122)
One atom of each set of equivalent atoms:
K  0.2275  0.2500  0.1250 x8
I  0.0000  0.0000  0.5000 x4
Br  0.0000  0.0000  0.0000 x4

Properties
total magnetic moment	0.0000	μB per atom


Run ii
The following is a PBE calculation of K2IBr after structural relaxation, from the Alexandria database.

Unit cell a=4.8339 b=6.9699 c=9.9059 alpha=90.00 beta=90.00 gamma=90.00
Space group Pmmn (No. 59, origin choice 2)
One atom of each set of equivalent atoms:
K  0.2500  0.2500  0.1112 x2
K  0.2500  0.2500  0.6416 x2
I  0.2500  0.7500  0.6269 x2
Br  0.2500  0.7500  0.1204 x2

Properties
total magnetic moment	0.0000	μB per atom


Most stable one: run ii, least stable one: run i.


Run i
The following is a PBE calculation of K4IBr2 after structural relaxation, from the Alexandria database.

Unit cell a=4.8008 b=4.8008 c=48.4144 alpha=90.00 beta=90.00 gamma=120.00
Space group R-3m (No. 166, hexagonal axes)
One atom of each set of equivalent atoms:
K  0.0000  0.0000  0.1248 x6
K  0.0000  0.0000  0.2883 x6
I  0.0000  0.0000  0.0000 x3
Br  0.0000  0.0000  0.4181 x6

Properties
total magnetic moment	0.0000	μB per atom


Run ii
The following is a PBE calculation of K4IBr2 after structural relaxation, from the Alexandria database.

Unit cell a=6.5200 b=6.5200 c=17.3680 alpha=90.00 beta=90.00 gamma=90.00
Space group I4/mmm (No. 139)
One atom of each set of equivalent atoms:
K  0.0000  0.0000  0.2103 x4
K  0.0000  0.5000  0.0000 x4
I  0.0000  0.0000  0.0000 x2
Br  0.0000  0.0000  0.3895 x4

Properties
total magnetic moment	0.0000	μB per atom


Most stable one: run i, least stable one: run ii.


Run i
The following is a PBE calculation of KMgI2Br after structural relaxation, from the Alexandria database.

Unit cell a=8.9036 b=4.4294 c=10.5112 alpha=90.00 beta=106.25 gamma=90.00
Space group P2_1/m (No. 11)
One atom of each set of equivalent atoms:
K  0.1934  0.2500  0.4165 x2
Mg  0.3619  0.2500  0.8357 x2
I  0.3084  0.7500  0.0092 x2
I  0.4427  0.7500  0.6659 x2
Br  0.0736  0.2500  0.6927 x2

Properties
total magnetic moment	0.0000	μB per atom


Run ii
The following is a PBE calculation of KMgI2Br after structural relaxation, from the Alexandria database.

Unit cell a=5.9090 b=5.9090 c=5.2689 alpha=90.00 beta=90.00 gamma=90.00
Space group P4/mmm (No. 123)
One atom of each set of equivalent atoms:
K  0.0000  0.0000  0.0000 x1
Mg  0.5000  0.5000  0.5000 x1
I  0.0000  0.5000  0.5000 x2
Br  0.5000  0.5000  0.0000 x1

Properties
total magnetic moment	0.0000	μB per atom


Most stable one: run i, least stable one: run ii.